(1)
A relaxed structure of IrAuF3, computed with GGA-PBEsol.

POSCAR file:
```
IrAuF3
1.0
-3.352 1.315 -2.325
-2.602 -2.453 2.363
-0.605 3.259 2.717
F Au Ir
3 1 1
direct
0.000 0.000 0.500
0.500 0.000 0.000
0.000 0.500 0.000
0.000 0.000 0.000
0.500 0.500 0.500
```

Calculated values
- ΔE to the lowest computed polymorph (meV/atom) = 745.4
- DOS(E_F) (states/eV/cell) = 7.066

(2)
A relaxed structure of IrAuF3, computed with GGA-PBEsol.

POSCAR file:
```
IrAuF3
1.0
-1.673 1.677 -3.382
-2.739 -3.085 -0.174
-2.597 2.173 2.363
F Ir Au
3 1 1
direct
0.000 0.000 0.500
0.000 0.500 0.000
0.500 0.000 0.000
0.000 0.000 0.000
0.500 0.500 0.500
```

Calculated values
- ΔE to the lowest computed polymorph (meV/atom) = 0.0
- DOS(E_F) (states/eV/cell) = 4.293

(3)
A relaxed structure of IrAuNF2, computed with GGA-PBEsol.

POSCAR file:
```
IrAuNF2
1.0
3.688 0.000 0.000
0.000 4.463 0.000
0.000 0.000 4.463
Ir N F Au
1 1 2 1
direct
0.500 0.500 0.500
0.500 0.000 0.000
0.000 0.500 0.000
0.000 0.000 0.500
0.000 0.000 0.000
```

Calculated values
- DOS(E_F) (states/eV/cell) = 5.995

(4)
A relaxed structure of IrAuN2F, computed with GGA-PBEsol.

POSCAR file:
```
IrAuN2F
1.0
-2.255 0.066 -3.026
2.834 -1.280 -2.140
-1.256 -4.195 0.845
Ir N Au F
1 2 1 1
direct
0.000 0.000 0.000
0.500 0.000 0.000
0.000 0.500 0.000
0.500 0.500 0.500
0.000 0.000 0.500
```

Calculated values
- ΔE to the lowest computed polymorph (meV/atom) = 0.0
- DOS(E_F) (states/eV/cell) = 2.580

(5)
A relaxed structure of IrAuN2F, computed with GGA-PBEsol.

POSCAR file:
```
IrAuN2F
1.0
-2.926 -1.706 2.042
1.315 -3.602 -1.126
2.345 -0.154 3.232
Ir N F Au
1 2 1 1
direct
0.500 0.500 0.500
0.000 0.500 0.000
0.000 0.000 0.500
0.500 0.000 0.000
0.000 0.000 0.000
```

Calculated values
- ΔE to the lowest computed polymorph (meV/atom) = 1261.3
- DOS(E_F) (states/eV/cell) = 6.798

(6)
A relaxed structure of Si2IrAuF, computed with GGA-PBEsol.

POSCAR file:
```
Si2IrAuF
1.0
-0.019 -3.263 3.060
2.687 -2.455 -2.601
4.110 2.099 2.264
F Ir Si Au
1 1 2 1
direct
0.500 0.500 0.500
0.000 0.000 0.000
0.000 0.500 0.000
0.500 0.000 0.000
0.000 0.000 0.500
```

Calculated values
- DOS(E_F) (states/eV/cell) = 5.145

(7)
A relaxed structure of K2AuF, computed with GGA-PBEsol.

POSCAR file:
```
K2AuF
1.0
-3.774 -2.127 5.181
6.195 -2.688 0.038
1.162 6.649 0.204
K F Au
4 2 2
direct
0.419 0.875 0.794
0.081 0.206 0.625
0.581 0.375 0.456
0.919 0.544 0.125
0.500 0.250 0.750
0.000 0.500 0.500
0.000 0.000 0.000
0.500 0.750 0.250
```

Calculated values
- DOS(E_F) (states/eV/cell) = 0.000

(8)
A relaxed structure of K3AuF, computed with GGA-PBEsol.

POSCAR file:
```
K3AuF
1.0
-2.661 -1.699 4.136
4.468 -1.191 2.385
0.168 4.771 2.068
K Au F
3 1 1
direct
0.000 0.500 0.000
0.000 0.000 0.500
0.500 0.000 0.000
0.500 0.500 0.500
0.000 0.000 0.000
```

Calculated values
- DOS(E_F) (states/eV/cell) = 2.431

(9)
A relaxed structure of KAuF2, computed with GGA-PBEsol.

POSCAR file:
```
KAuF2
1.0
-0.800 -2.917 3.168
2.276 -3.739 0.160
2.941 -0.639 3.182
K F Au
1 2 1
direct
0.000 0.000 0.000
0.250 0.250 0.250
0.750 0.750 0.750
0.500 0.500 0.500
```

Calculated values
- ΔE to the lowest computed polymorph (meV/atom) = 419.1
- DOS(E_F) (states/eV/cell) = 2.969

(10)
A relaxed structure of KAuF4, computed with GGA-PBEsol.

POSCAR file:
```
KAuF4
1.0
-1.457 5.607 1.626
-3.775 0.374 -4.671
-1.568 -5.011 4.742
K Au F
2 2 8
direct
0.250 0.250 0.500
0.750 0.750 0.500
0.500 0.000 0.000
0.000 0.500 0.000
0.457 0.957 0.240
0.957 0.782 0.240
0.543 0.043 0.760
0.043 0.218 0.760
0.718 0.543 0.760
0.218 0.718 0.760
0.782 0.282 0.240
0.282 0.457 0.240
```

Calculated values
- DOS(E_F) (states/eV/cell) = 0.000

(11)
A relaxed structure of KAuF2, computed with GGA-PBEsol.

POSCAR file:
```
KAuF2
1.0
-1.083 0.912 3.656
-1.415 -2.779 2.376
5.181 -1.892 4.109
K F Au
1 2 1
direct
0.500 0.500 0.500
0.898 0.898 0.305
0.102 0.102 0.695
0.000 0.000 0.000
```

Calculated values
- ΔE to the lowest computed polymorph (meV/atom) = 0.0
- DOS(E_F) (states/eV/cell) = 0.000

(12)
A relaxed structure of K2LiAuF, computed with GGA-PBEsol.

POSCAR file:
```
K2LiAuF
1.0
4.483 0.000 0.000
0.000 6.390 0.000
0.000 0.000 6.390
K F Li Au
2 1 1 1
direct
0.000 0.500 0.000
0.000 0.000 0.500
0.500 0.000 0.000
0.500 0.500 0.500
0.000 0.000 0.000
```

Calculated values
- DOS(E_F) (states/eV/cell) = 1.719

Computed values of raw formation energy (unit: eV/atom) for the preceding records, in sequence: 0.554, -0.192, 1.260, 0.784, 2.046, 0.114, -1.313, -1.110, -1.237, -1.783, -1.656, -0.296.
Computed values of calculated density (unit: g/cm³) for the preceding records, in sequence: 9.4, 10.5, 10.0, 11.4, 11.5, 7.5, 4.2, 3.9, 7.7, 5.1, 5.3, 2.7.
Computed values of M_tot (unit: μB per cell) for the preceding records, in sequence: 2.41, 0.03, 2.26, 0.00, 0.77, 0.16, 0.00, 0.00, 0.00, 0.00, 0.00, 0.00.